A plane-wave DFT calculation with GGA-PBE was carried out for an optimized crystal structure of ZrAsPCl2.

Unit cell a=4.7338 b=4.7338 c=5.1562 alpha=90.00 beta=90.00 gamma=90.00
Site moments in Bohr magnetons follow the coordinates.
Element x y z (fractional)
P 0.0000 0.0000 0.5000  -0.09
As 0.0000 0.0000 0.0000  0.05
Zr 0.5000 0.5000 0.5000  1.13
Cl 0.0000 0.5000 0.0000  -0.01
Cl 0.5000 0.0000 0.0000  -0.01

Summary:
As for the raw formation energy: 0.38 eV/atom. As for the density of states at the Fermi level: 5.9 states/eV/f.u. As for the relative energy among the computed polymorphs: 620.6 meV/atom. The space group is No. 123. The calculation puts the calculated total energy at -20.4 eV/cell.